# NpInIr4

A relaxed NpInIr4 crystal (GGA-PBE, Alexandria).

Properties
volume: 105.80 Å³ per cell
symmetry: F-43m
total magnetization: 2.0 Bohr magnetons per cell
formation energy from the elements: -0.258 eV/atom

Cell: 5.309 5.309 5.309 Å, 60.00 60.00 60.00°
Each line ends with the local moment (μB).
Atoms (fractional coordinates):
Np: 0.250 0.250 0.250  3.13
Ir: 0.626 0.626 0.123  -0.32
Ir: 0.626 0.123 0.626  -0.32
Ir: 0.626 0.626 0.626  -0.32
Ir: 0.123 0.626 0.626  -0.32
In: 0.000 0.000 0.000  0.00